# 1
A relaxed structure of Mg2Tl2Te. Source: the Alexandria database, functional GGA-PBE.

The structure in POSCAR format:
```
Mg2Tl2Te
1.0
-5.818 4.829 1.768
-4.833 -4.223 -4.370
-1.060 -2.641 3.725
Tl Te Mg
4 2 4
direct
0.158 0.658 0.500 Tl
0.658 0.842 0.500 Tl
0.842 0.342 0.500 Tl
0.342 0.158 0.500 Tl
0.000 0.000 0.000 Te
0.500 0.500 0.000 Te
0.360 0.860 0.000 Mg
0.860 0.640 0.000 Mg
0.640 0.140 0.000 Mg
0.140 0.360 0.000 Mg
```

M_tot ... 0.0 μB per cell
N(E_F) ... 0.40 states/eV per atom
Raw total energy ... -2.364 eV/atom
ΔE to the lowest computed polymorph ... 0 meV/atom
E_form (uncorrected) ... -0.152 eV/atom

# 2
A relaxed structure of Mg2Tl3Te4. Source: the Alexandria database, functional GGA-PBE.

The structure in POSCAR format:
```
Mg2Tl3Te4
1.0
-1.794 -2.451 -3.290
6.016 -5.656 0.933
-6.000 -0.680 6.837
Mg Tl Te
2 3 4
direct
0.671 0.974 0.345 Mg
0.329 0.026 0.655 Mg
0.123 0.539 0.245 Tl
0.877 0.461 0.755 Tl
0.000 0.000 0.000 Tl
0.514 0.726 0.030 Te
0.211 0.197 0.424 Te
0.486 0.274 0.970 Te
0.789 0.803 0.576 Te
```

M_tot ... 0.0 μB per cell
N(E_F) ... 0.21 states/eV per atom
Raw total energy ... -3.044 eV/atom
E_form (uncorrected) ... -0.505 eV/atom

# 3
A relaxed structure of MgTlTe3. Source: the Alexandria database, functional GGA-PBE.

The structure in POSCAR format:
```
MgTlTe3
1.0
5.754 0.000 0.000
0.000 5.754 0.000
0.000 0.000 5.754
Tl Te Mg
1 3 1
direct
0.000 0.000 0.000 Tl
0.000 0.500 0.000 Te
0.000 0.000 0.500 Te
0.500 0.000 0.000 Te
0.500 0.500 0.500 Mg
```

M_tot ... 0.0 μB per cell
N(E_F) ... 1.17 states/eV per atom
Raw total energy ... -2.181 eV/atom
ΔE to the lowest computed polymorph ... 537 meV/atom
E_form (uncorrected) ... 0.497 eV/atom

# 4
A relaxed structure of Mg2Tl2Te. Source: the Alexandria database, functional GGA-PBE.

The structure in POSCAR format:
```
Mg2Tl2Te
1.0
4.226 0.000 0.000
0.000 4.226 0.000
2.113 2.113 8.599
Tl Te Mg
2 1 2
direct
0.403 0.403 0.193 Tl
0.597 0.597 0.807 Tl
0.000 0.000 0.000 Te
0.750 0.250 0.500 Mg
0.250 0.750 0.500 Mg
```

M_tot ... 0.0 μB per cell
N(E_F) ... 0.30 states/eV per atom
Raw total energy ... -2.167 eV/atom
ΔE to the lowest computed polymorph ... 197 meV/atom
E_form (uncorrected) ... 0.046 eV/atom

# 5
A relaxed structure of Mg2TlTe2. Source: the Alexandria database, functional GGA-PBE.

The structure in POSCAR format:
```
Mg2TlTe2
1.0
8.558 0.000 0.000
0.000 8.558 0.000
0.000 0.000 3.861
Tl Te Mg
2 4 4
direct
0.000 0.000 0.000 Tl
0.500 0.500 0.000 Tl
0.345 0.845 0.000 Te
0.845 0.655 0.000 Te
0.655 0.155 0.000 Te
0.155 0.345 0.000 Te
0.141 0.641 0.500 Mg
0.641 0.859 0.500 Mg
0.859 0.359 0.500 Mg
0.359 0.141 0.500 Mg
```

M_tot ... 0.0 μB per cell
N(E_F) ... 0.18 states/eV per atom
Raw total energy ... -2.747 eV/atom
ΔE to the lowest computed polymorph ... 93 meV/atom
E_form (uncorrected) ... -0.380 eV/atom

# 6
A relaxed structure of MgTlTe3. Source: the Alexandria database, functional GGA-PBE.

The structure in POSCAR format:
```
MgTlTe3
1.0
-3.410 1.072 -4.268
-4.368 -0.167 3.447
0.535 5.460 0.943
Tl Te Mg
1 3 1
direct
0.500 0.500 0.500 Tl
0.000 0.500 0.000 Te
0.000 0.000 0.500 Te
0.500 0.000 0.000 Te
0.000 0.000 0.000 Mg
```

M_tot ... 0.0 μB per cell
N(E_F) ... 1.29 states/eV per atom
Raw total energy ... -2.718 eV/atom
ΔE to the lowest computed polymorph ... 0 meV/atom
E_form (uncorrected) ... -0.041 eV/atom

# 7
A relaxed structure of MgTl4Te. Source: the Alexandria database, functional GGA-PBE.

The structure in POSCAR format:
```
MgTl4Te
1.0
5.105 2.226 3.341
0.634 6.370 1.099
-0.821 2.358 5.996
Mg Tl Te
1 4 1
direct
0.750 0.750 0.750 Mg
0.876 0.375 0.375 Tl
0.375 0.375 0.876 Tl
0.375 0.876 0.375 Tl
0.375 0.375 0.375 Tl
0.000 0.000 0.000 Te
```

M_tot ... 0.0 μB per cell
N(E_F) ... 0.51 states/eV per atom
Raw total energy ... -2.262 eV/atom
E_form (uncorrected) ... 0.105 eV/atom

# 8
A relaxed structure of MgTl3Te3. Source: the Alexandria database, functional GGA-PBE.

The structure in POSCAR format:
```
MgTl3Te3
1.0
8.239 0.000 0.000
0.000 9.390 -0.979
0.000 -0.607 12.832
Mg Tl Te
4 12 12
direct
0.416 0.826 0.955 Mg
0.084 0.826 0.455 Mg
0.916 0.174 0.545 Mg
0.584 0.174 0.045 Mg
0.813 0.905 0.890 Tl
0.687 0.905 0.390 Tl
0.235 0.724 0.723 Tl
0.756 0.578 0.581 Tl
0.265 0.724 0.223 Tl
0.744 0.578 0.081 Tl
0.256 0.422 0.919 Tl
0.735 0.276 0.777 Tl
0.244 0.422 0.419 Tl
0.765 0.276 0.277 Tl
0.313 0.095 0.610 Tl
0.187 0.095 0.110 Tl
0.911 0.923 0.641 Te
0.589 0.923 0.141 Te
0.099 0.746 0.997 Te
0.401 0.746 0.497 Te
0.584 0.601 0.835 Te
0.916 0.601 0.335 Te
0.084 0.399 0.665 Te
0.416 0.399 0.165 Te
0.599 0.254 0.503 Te
0.901 0.254 0.003 Te
0.411 0.077 0.859 Te
0.089 0.077 0.359 Te
```

M_tot ... 0.0 μB per cell
N(E_F) ... 0.53 states/eV per atom
Raw total energy ... -2.978 eV/atom
E_form (uncorrected) ... -0.390 eV/atom

# 9
A relaxed structure of Mg2TlTe2. Source: the Alexandria database, functional GGA-PBE.

The structure in POSCAR format:
```
Mg2TlTe2
1.0
4.636 0.000 0.000
0.000 4.636 0.000
2.318 2.318 7.415
Tl Te Mg
1 2 2
direct
0.000 0.000 0.000 Tl
0.365 0.365 0.270 Te
0.635 0.635 0.730 Te
0.750 0.250 0.500 Mg
0.250 0.750 0.500 Mg
```

M_tot ... 0.0 μB per cell
N(E_F) ... 0.61 states/eV per atom
Raw total energy ... -2.841 eV/atom
ΔE to the lowest computed polymorph ... 0 meV/atom
E_form (uncorrected) ... -0.473 eV/atom

# 10
A relaxed structure of Mg2Tl2Te. Source: the Alexandria database, functional GGA-PBE.

The structure in POSCAR format:
```
Mg2Tl2Te
1.0
9.026 0.000 0.000
0.000 9.026 0.000
0.000 0.000 3.342
Tl Te Mg
4 2 4
direct
0.370 0.870 0.000 Tl
0.870 0.630 0.000 Tl
0.630 0.130 0.000 Tl
0.130 0.370 0.000 Tl
0.000 0.000 0.000 Te
0.500 0.500 0.000 Te
0.172 0.672 0.500 Mg
0.672 0.828 0.500 Mg
0.828 0.328 0.500 Mg
0.328 0.172 0.500 Mg
```

M_tot ... 0.0 μB per cell
N(E_F) ... 0.35 states/eV per atom
Raw total energy ... -2.233 eV/atom
ΔE to the lowest computed polymorph ... 132 meV/atom
E_form (uncorrected) ... -0.020 eV/atom

# 11
A relaxed structure of MgTlTe. Source: the Alexandria database, functional GGA-PBE.

The structure in POSCAR format:
```
MgTlTe
1.0
-3.187 2.626 -1.528
-1.030 -3.836 1.901
-0.293 2.570 5.028
Mg Te Tl
1 1 1
direct
0.000 0.000 0.049 Mg
0.667 0.333 0.266 Te
0.333 0.667 0.685 Tl
```

M_tot ... 0.0 μB per cell
N(E_F) ... 0.45 states/eV per atom
Raw total energy ... -2.711 eV/atom
ΔE to the lowest computed polymorph ... 50 meV/atom
E_form (uncorrected) ... -0.343 eV/atom

# 12
A relaxed structure of Mg2TlTe2. Source: the Alexandria database, functional GGA-PBE.

The structure in POSCAR format:
```
Mg2TlTe2
1.0
8.281 0.000 0.000
0.000 8.281 0.000
0.000 0.000 3.932
Tl Te Mg
2 4 4
direct
0.000 0.000 0.000 Tl
0.500 0.500 0.000 Tl
0.166 0.666 0.500 Te
0.666 0.834 0.500 Te
0.834 0.334 0.500 Te
0.334 0.166 0.500 Te
0.367 0.867 0.000 Mg
0.867 0.633 0.000 Mg
0.633 0.133 0.000 Mg
0.133 0.367 0.000 Mg
```

M_tot ... 0.0 μB per cell
N(E_F) ... 0.28 states/eV per atom
Raw total energy ... -2.799 eV/atom
ΔE to the lowest computed polymorph ... 41 meV/atom
E_form (uncorrected) ... -0.432 eV/atom

# 13
A relaxed structure of MgTlTe. Source: the Alexandria database, functional GGA-PBE.

The structure in POSCAR format:
```
MgTlTe
1.0
4.659 0.000 0.000
0.000 4.659 0.000
0.000 0.000 9.452
Tl Te Mg
2 2 2
direct
0.000 0.500 0.961 Tl
0.500 0.000 0.039 Tl
0.000 0.500 0.325 Te
0.500 0.000 0.675 Te
0.000 0.000 0.500 Mg
0.500 0.500 0.500 Mg
```

M_tot ... 0.0 μB per cell
N(E_F) ... 0.44 states/eV per atom
Raw total energy ... -2.761 eV/atom
ΔE to the lowest computed polymorph ... 0 meV/atom
E_form (uncorrected) ... -0.393 eV/atom

# 14
A relaxed structure of MgTlTe. Source: the Alexandria database, functional GGA-PBE.

The structure in POSCAR format:
```
MgTlTe
1.0
5.117 0.000 0.000
2.558 4.431 0.000
2.558 1.477 4.178
Mg Te Tl
1 1 1
direct
0.750 0.750 0.750 Mg
0.000 0.000 0.000 Te
0.500 0.500 0.500 Tl
```

M_tot ... 0.0 μB per cell
N(E_F) ... 0.72 states/eV per atom
Raw total energy ... -2.605 eV/atom
ΔE to the lowest computed polymorph ... 156 meV/atom
E_form (uncorrected) ... -0.238 eV/atom

# 15
A relaxed structure of MgTl2Te3. Source: the Alexandria database, functional GGA-PBE.

The structure in POSCAR format:
```
MgTl2Te3
1.0
-0.567 3.073 -3.482
-6.506 1.773 2.623
10.776 18.277 14.375
Mg Tl Te
4 8 12
direct
0.250 0.955 0.450 Mg
0.750 0.545 0.950 Mg
0.250 0.455 0.050 Mg
0.750 0.045 0.550 Mg
0.250 0.659 0.585 Tl
0.750 0.841 0.085 Tl
0.250 0.159 0.915 Tl
0.750 0.341 0.415 Tl
0.250 0.717 0.772 Tl
0.750 0.783 0.272 Tl
0.250 0.217 0.728 Tl
0.750 0.283 0.228 Tl
0.250 0.746 0.976 Te
0.750 0.754 0.476 Te
0.250 0.246 0.524 Te
0.750 0.254 0.024 Te
0.250 0.913 0.179 Te
0.750 0.587 0.679 Te
0.250 0.413 0.321 Te
0.750 0.087 0.821 Te
0.250 0.531 0.159 Te
0.750 0.969 0.659 Te
0.250 0.031 0.341 Te
0.750 0.469 0.841 Te
```

M_tot ... 0.0 μB per cell
N(E_F) ... 0.01 states/eV per atom
Raw total energy ... -3.019 eV/atom
E_form (uncorrected) ... -0.394 eV/atom

# 16
A relaxed structure of Mg3TlTe. Source: the Alexandria database, functional GGA-PBE.

The structure in POSCAR format:
```
Mg3TlTe
1.0
5.332 0.000 0.000
0.000 5.332 0.000
0.000 0.000 5.332
Tl Te Mg
1 1 3
direct
0.000 0.000 0.000 Tl
0.500 0.500 0.500 Te
0.000 0.500 0.000 Mg
0.000 0.000 0.500 Mg
0.500 0.000 0.000 Mg
```

M_tot ... 0.0 μB per cell
N(E_F) ... 1.01 states/eV per atom
Raw total energy ... -1.936 eV/atom
ΔE to the lowest computed polymorph ... 0 meV/atom
E_form (uncorrected) ... 0.122 eV/atom

# 17
A relaxed structure of TmMgTlTe3. Source: the Alexandria database, functional GGA-PBE.

The structure in POSCAR format:
```
TmMgTlTe3
1.0
-2.595 -2.767 2.356
7.187 -1.693 5.927
-5.246 8.217 3.872
Tm Mg Tl Te
2 2 2 6
direct
0.250 0.670 0.136 Tm
0.750 0.330 0.864 Tm
0.250 0.081 0.610 Mg
0.750 0.919 0.390 Mg
0.750 0.793 0.779 Tl
0.250 0.207 0.221 Tl
0.250 0.776 0.459 Te
0.750 0.890 0.121 Te
0.750 0.458 0.163 Te
0.750 0.224 0.541 Te
0.250 0.542 0.837 Te
0.250 0.110 0.879 Te
```

M_tot ... 0.0 μB per cell
Raw total energy ... -3.920 eV/atom
E_form (uncorrected) ... -0.943 eV/atom

# 18
A relaxed structure of Tm3MgTl3Te8. Source: the Alexandria database, functional GGA-PBE.

The structure in POSCAR format:
```
Tm3MgTl3Te8
1.0
8.643 0.001 0.001
-4.320 7.491 -0.033
0.001 -4.963 8.170
Tm Mg Tl Te
3 1 3 8
direct
0.500 0.000 0.500 Tm
0.500 0.500 0.500 Tm
0.000 0.500 0.500 Tm
0.000 0.000 0.500 Mg
0.000 0.000 0.000 Tl
0.000 0.500 0.000 Tl
0.500 0.500 0.000 Tl
0.262 0.523 0.285 Te
0.738 0.477 0.715 Te
0.765 0.530 0.291 Te
0.235 0.470 0.709 Te
0.765 0.025 0.291 Te
0.235 0.975 0.709 Te
0.260 0.026 0.291 Te
0.740 0.974 0.709 Te
```

M_tot ... 0.0 μB per cell
N(E_F) ... 0.67 states/eV per atom
Raw total energy ... -4.001 eV/atom
E_form (uncorrected) ... -0.852 eV/atom

# 19
A relaxed structure of Tm2MgTl3Te6. Source: the Alexandria database, functional GGA-PBE.

The structure in POSCAR format:
```
Tm2MgTl3Te6
1.0
-0.413 4.966 5.753
-5.185 -5.536 -0.634
6.425 -4.591 2.749
Tm Mg Tl Te
2 1 3 6
direct
0.334 0.666 0.000 Tm
0.666 0.334 0.000 Tm
0.000 0.000 0.000 Mg
0.170 0.830 0.500 Tl
0.830 0.170 0.500 Tl
0.500 0.500 0.500 Tl
0.931 0.601 0.790 Te
0.741 0.741 0.212 Te
0.069 0.399 0.210 Te
0.601 0.931 0.790 Te
0.259 0.259 0.788 Te
0.399 0.069 0.210 Te
```

M_tot ... 0.0 μB per cell
N(E_F) ... 0.47 states/eV per atom
Raw total energy ... -3.878 eV/atom
E_form (uncorrected) ... -0.837 eV/atom

# 20
A relaxed structure of MgU3Tl4Te8. Source: the Alexandria database, functional GGA-PBE.

The structure in POSCAR format:
```
MgU3Tl4Te8
1.0
-6.431 -3.956 -4.568
5.491 -7.962 -0.834
-1.566 2.957 8.167
Mg U Tl Te
1 3 4 8
direct
0.000 0.500 0.000 Mg
0.500 0.500 0.000 U
0.500 0.500 0.500 U
0.000 0.500 0.500 U
0.500 0.000 0.000 Tl
0.500 0.000 0.500 Tl
0.000 0.000 0.000 Tl
0.000 0.000 0.500 Tl
0.234 0.711 0.977 Te
0.234 0.711 0.468 Te
0.261 0.283 0.522 Te
0.743 0.711 0.977 Te
0.257 0.289 0.023 Te
0.739 0.717 0.478 Te
0.766 0.289 0.532 Te
0.766 0.289 0.023 Te
```

M_tot ... 8.0 μB per cell
N(E_F) ... 1.18 states/eV per atom
Raw total energy ... -4.927 eV/atom
E_form (uncorrected) ... -0.549 eV/atom